[1]
The following is a DFT calculation (PBE) of a relaxed YRu6 crystal.

Cell: 6.690 6.690 6.690 Å, 90.00 90.00 90.00°
Space group Im-3m (No. 229)
Asymmetric unit:
Y (0.000, 0.000, 0.000) (multiplicity 2)
Ru (0.000, 0.250, 0.500) (multiplicity 12)

Values from the calculation:
**N(E_F)**: 7.9 states/eV/f.u.
**ρ**: 7.71 g/cm³
**M_tot**: 0.0 μB/cell
**Formation enthalpy at 0 K**: 0.715 eV per atom

***

[2]
The following is a DFT calculation (PBE) of a relaxed OsPbF3 crystal.

Cell: 4.769 4.769 4.769 Å, 90.00 90.00 90.00°
Space group Pm-3m (No. 221)
Asymmetric unit:
Os (0.000, 0.000, 0.000) (multiplicity 1)
Pb (0.500, 0.500, 0.500) (multiplicity 1)
F (0.000, 0.500, 0.500) (multiplicity 3)

Values from the calculation:
**N(E_F)**: 11.1 states/eV/f.u.
**E_form (uncorrected)**: -0.298 eV/atom
**Energy above the lowest structure with this stoichiometry**: 0.316 eV/atom
**ρ**: 6.96 g/cm³
**M_tot**: 4.9 μB/cell

***

[3]
The following is a DFT calculation (PBE) of a relaxed Dy4InSn crystal.

Cell: 5.1254 5.1254 24.6462 Å, 90.00 90.00 120.00°
Space group R-3m (No. 166, hexagonal axes)
Asymmetric unit:
Dy (0.0000, 0.0000, 0.1270) (multiplicity 6)
Dy (0.0000, 0.0000, 0.2851) (multiplicity 6)
In (0.0000, 0.0000, 0.0000) (multiplicity 3)
Sn (0.0000, 0.0000, 0.5000) (multiplicity 3)

Values from the calculation:
**N(E_F)**: 6.1 states/eV/f.u.
**ρ**: 7.85 g/cm³
**M_tot**: 0.0 μB/cell
**Formation enthalpy at 0 K**: -0.231 eV per atom

***

[4]
The following is a DFT calculation (PBE) of a relaxed La2Tl3In3 crystal.

Cell: 4.829 4.836 9.709 Å, 90.00 90.00 90.00°
Space group Pmmm (No. 47)
Asymmetric unit:
La (0.000, 0.000, 0.249) (multiplicity 2)
Tl (0.500, 0.000, 0.500) (multiplicity 1)
Tl (0.500, 0.500, 0.246) (multiplicity 2)
In (0.000, 0.500, 0.000) (multiplicity 1)
In (0.000, 0.500, 0.500) (multiplicity 1)
In (0.500, 0.000, 0.000) (multiplicity 1)

Values from the calculation:
**N(E_F)**: 4.1 states/eV/f.u.
**ρ**: 9.05 g/cm³
**M_tot**: 0.0 μB/cell
**Formation enthalpy at 0 K**: -0.417 eV per atom

***

[5]
The following is a DFT calculation (PBE) of a relaxed Ca2SbRu crystal.

Cell: 4.960 4.960 6.992 Å, 90.00 90.00 90.00°
Space group I-4m2 (No. 119)
Asymmetric unit:
Ca (0.000, 0.000, 0.000) (multiplicity 2)
Ca (0.000, 0.500, 0.250) (multiplicity 2)
Sb (0.000, 0.500, 0.750) (multiplicity 2)
Ru (0.000, 0.000, 0.500) (multiplicity 2)

Values from the calculation:
**N(E_F)**: 4.0 states/eV/f.u.
**E_form (uncorrected)**: -0.190 eV/atom
**ρ**: 5.85 g/cm³
**M_tot**: 0.0 μB/cell

***

[6]
The following is a DFT calculation (PBE) of a relaxed SbTeI2 crystal.

Cell: 4.282 7.160 7.398 Å, 94.46 105.72 98.71°
Space group P1 (No. 1)
Asymmetric unit:
Sb (0.000, 0.000, 0.000) (multiplicity 1)
Te (0.503, 0.753, 0.107) (multiplicity 1)
I (0.732, 0.363, 0.050) (multiplicity 1)
I (0.790, 0.910, 0.609) (multiplicity 1)

Values from the calculation:
**N(E_F)**: 1.3 states/eV/f.u.
**E_form (uncorrected)**: -0.101 eV/atom
**Energy above the lowest structure with this stoichiometry**: 0.000 eV/atom
**ρ**: 3.90 g/cm³
**M_tot**: 0.0 μB/cell